Record 1
# Sc4Tc3

Sc4Tc3 at its PBEsol-relaxed geometry (SCAN, Alexandria via LeMat-Bulk).

The structure in POSCAR format:
```
Sc4Tc3
1.0
3.1364 0.0000 0.0000
0.0000 3.1364 0.0000
0.0000 0.0000 26.3284
Sc Tc
8 6
Direct
0.0000 0.0000 0.0586
0.0000 0.0000 0.3423
0.0000 0.0000 0.6577
0.0000 0.0000 0.9414
0.5000 0.5000 0.1577
0.5000 0.5000 0.4414
0.5000 0.5000 0.5586
0.5000 0.5000 0.8423
0.0000 0.0000 0.2233
0.0000 0.0000 0.5000
0.0000 0.0000 0.7767
0.5000 0.5000 0.0000
0.5000 0.5000 0.2767
0.5000 0.5000 0.7233
```

Calculated values
The formation energy comes out at -0.1877 eV/atom. Its symmetry is No. 139.

Record 2
# BeZnPb2

BeZnPb2 at its PBEsol-relaxed geometry (SCAN, Alexandria via LeMat-Bulk).

The structure in POSCAR format:
```
BeZnPb2
1.0
4.0799 0.0000 0.0000
0.0000 4.0527 0.0000
-2.0083 0.0000 5.0253
Be Zn Pb
1 1 2
Direct
0.0000 0.0000 0.0000
0.8784 0.5000 0.7535
0.2867 0.0000 0.5752
0.5862 0.5000 0.1684
```

Calculated values
The formation energy comes out at 0.3026 eV/atom. Its symmetry is No. 6.

Record 3
# ZnFeCl2

ZnFeCl2 at its PBEsol-relaxed geometry (SCAN, Alexandria via LeMat-Bulk).

The structure in POSCAR format:
```
ZnFeCl2
1.0
3.1881 0.0000 0.0000
0.0000 3.9787 0.0000
0.0000 0.0000 12.5876
Zn Fe Cl
2 2 4
Direct
0.0000 0.0000 0.0000
0.5000 0.5000 0.5000
0.0000 0.0000 0.5000
0.5000 0.5000 0.0000
0.0000 0.5000 0.1412
0.0000 0.5000 0.8588
0.5000 0.0000 0.3588
0.5000 0.0000 0.6412
```

Calculated values
Its total energy is -12.163 eV/atom. Its symmetry is No. 71.

Record 4
# MgScBr2

MgScBr2 at its PBEsol-relaxed geometry (SCAN, Alexandria via LeMat-Bulk).

The structure in POSCAR format:
```
MgScBr2
1.0
6.7649 0.0000 0.0000
0.0000 8.8836 0.0000
-1.6123 0.0000 3.1196
Mg Sc Br
2 2 4
Direct
0.0000 0.0000 0.0000
0.5000 0.5000 0.0000
0.0000 0.5000 0.0000
0.5000 0.0000 0.0000
0.2500 0.2500 0.0000
0.2500 0.7500 0.0000
0.7500 0.2500 0.0000
0.7500 0.7500 0.0000
```

Calculated values
Its total energy is -15.243 eV/atom. Its symmetry is No. 12.